Density functional theory data (GGA-PBE) for an optimized crystal structure of TaNb6W.

The relative energy among the computed polymorphs is 202 meV/atom.

Geometry as CIF:
```
data_TaNb6W
_chemical_formula_sum 'Ta1 Nb6 W1'
_space_group_name_H-M_alt 'P 1'
_space_group_IT_number 1
_space_group_name_Hall 'P 1'
_cell_length_a 5.856
_cell_length_b 5.856
_cell_length_c 5.856
_cell_angle_alpha 110.66
_cell_angle_beta 110.66
_cell_angle_gamma 110.66
loop_
_atom_site_label
_atom_site_fract_x
_atom_site_fract_y
_atom_site_fract_z
Ta1 0.000 0.000 0.000
Nb1 0.251 0.251 0.747
Nb2 0.251 0.747 0.251
Nb3 0.253 0.749 0.749
Nb4 0.747 0.251 0.251
Nb5 0.749 0.253 0.749
Nb6 0.749 0.749 0.253
W1 0.500 0.500 0.500
```